No. 1
The following is a DFT calculation (PBE-GGA) of an optimized crystal structure of LaMg4Pt.

The structure in CIF format:
```
data_LaMg4Pt
_chemical_formula_sum 'La4 Mg16 Pt4'
_cell_length_a 8.150
_cell_length_b 8.150
_cell_length_c 8.150
_cell_angle_alpha 90.00
_cell_angle_beta 90.00
_cell_angle_gamma 90.00
_symmetry_space_group_name_H-M 'F -4 3 m'
_symmetry_Int_Tables_number 216
_symmetry_space_group_name_Hall 'F -4 2 3'
loop_
_atom_site_label
_atom_site_type_symbol
_atom_site_fract_x
_atom_site_fract_y
_atom_site_fract_z
La1 La 0.000 0.000 0.000
Mg1 Mg 0.124 0.124 0.624
Pt1 Pt 0.250 0.250 0.250
```

Summary:
Density, g/cm³: 5.3
Formation enthalpy at 0 K, eV per formula unit: -0.49

No. 2
The following is a DFT calculation (PBE-GGA) of an optimized crystal structure of La3MgPt8.

The structure in CIF format:
```
data_La3MgPt8
_chemical_formula_sum 'La9 Mg3 Pt24'
_cell_length_a 5.5040
_cell_length_b 5.5040
_cell_length_c 26.9803
_cell_angle_alpha 90.00
_cell_angle_beta 90.00
_cell_angle_gamma 120.00
_symmetry_space_group_name_H-M 'R 3 m'
_symmetry_Int_Tables_number 160
_symmetry_space_group_name_Hall 'R 3 -2"'
loop_
_atom_site_label
_atom_site_type_symbol
_atom_site_fract_x
_atom_site_fract_y
_atom_site_fract_z
La1 La 0.0000 0.0000 0.0000
La2 La 0.0000 0.0000 0.1280
La3 La 0.0000 0.0000 0.5114
Mg1 Mg 0.0000 0.0000 0.6359
Pt1 Pt 0.0000 0.0000 0.3163
Pt2 Pt 0.0000 0.0000 0.8168
Pt3 Pt 0.1673 0.3346 0.3995
Pt4 Pt 0.1674 0.3348 0.9009
```

Summary:
Density, g/cm³: 14.1
Formation enthalpy at 0 K, eV per formula unit: -12.31

No. 3
The following is a DFT calculation (PBE-GGA) of an optimized crystal structure of La2MgPt.

The structure in CIF format:
```
data_La2MgPt
_chemical_formula_sum 'La8 Mg4 Pt4'
_cell_length_a 8.599
_cell_length_b 8.599
_cell_length_c 6.506
_cell_angle_alpha 90.00
_cell_angle_beta 90.00
_cell_angle_gamma 90.00
_symmetry_space_group_name_H-M 'I -4 2 d'
_symmetry_Int_Tables_number 122
_symmetry_space_group_name_Hall 'I -4 2bw'
loop_
_atom_site_label
_atom_site_type_symbol
_atom_site_fract_x
_atom_site_fract_y
_atom_site_fract_z
La1 La 0.194 0.250 0.125
Mg1 Mg 0.000 0.000 0.500
Pt1 Pt 0.000 0.000 0.000
```

Summary:
Density, g/cm³: 6.9
Formation enthalpy at 0 K, eV per formula unit: -1.54

No. 4
The following is a DFT calculation (PBE-GGA) of an optimized crystal structure of LaMgPt3.

The structure in CIF format:
```
data_LaMgPt3
_chemical_formula_sum 'La1 Mg1 Pt3'
_cell_length_a 4.759
_cell_length_b 4.759
_cell_length_c 4.759
_cell_angle_alpha 90.00
_cell_angle_beta 90.00
_cell_angle_gamma 90.00
_symmetry_space_group_name_H-M 'P m -3 m'
_symmetry_Int_Tables_number 221
_symmetry_space_group_name_Hall '-P 4 2 3'
loop_
_atom_site_label
_atom_site_type_symbol
_atom_site_fract_x
_atom_site_fract_y
_atom_site_fract_z
La1 La 0.000 0.000 0.000
Mg1 Mg 0.500 0.500 0.500
Pt1 Pt 0.000 0.500 0.500
```

Summary:
Density, g/cm³: 11.5
E above lowest polymorph, eV/f.u.: 0.00
Formation enthalpy at 0 K, eV per formula unit: -1.67